Ni3Sb | PBE | relaxed

Values from the calculation:
DOS at the Fermi energy = 3.17 states/eV/f.u.
SG = Pmmn (59)
uncorrected formation energy = -0.14 eV per atom
E_tot = -22.03 eV per formula unit
energy relative to the lowest polymorph listed for this composition = 9.7 meV/atom

a b c (Å): 4.520 5.325 12.927
angles (deg): 90.00 90.00 90.00
Positions (direct):
Ni: 0.179 0.000 0.419
Ni: 0.179 0.000 0.081
Ni: 0.480 0.000 0.750
Ni: 0.520 0.000 0.250
Ni: 0.821 0.000 0.919
Ni: 0.821 0.000 0.581
Ni: 0.035 0.250 0.250
Ni: 0.323 0.250 0.913
Ni: 0.323 0.250 0.587
Ni: 0.179 0.500 0.419
Ni: 0.179 0.500 0.081
Ni: 0.480 0.500 0.750
Ni: 0.520 0.500 0.250
Ni: 0.821 0.500 0.919
Ni: 0.821 0.500 0.581
Ni: 0.965 0.750 0.750
Ni: 0.677 0.750 0.413
Ni: 0.677 0.750 0.087
Sb: 0.966 0.250 0.750
Sb: 0.678 0.250 0.415
Sb: 0.678 0.250 0.085
Sb: 0.034 0.750 0.250
Sb: 0.322 0.750 0.915
Sb: 0.322 0.750 0.585